VASP calculation (GGA+U) on a geometry-optimized Li2VHgO4 structure.

Values from the calculation:
DFT total energy ... -5.5414 eV/atom
Volume ... 106.14 Å³ per cell
Space group ... Fmm2, No. 42
Crystal system ... orthorhombic

```
8
Lattice="5.158 0.207 0.000 -0.221 5.158 0.000 -2.469 -2.683 3.983" Properties=species:S:1:pos:R:3 pbc="T T T"
Li 2.580 0.103 1.991
Hg 0.000 0.000 0.008
O 1.430 3.638 1.047
O 0.955 1.038 2.932
Li -0.111 2.579 1.991
O 3.507 1.727 1.047
O -0.955 -1.038 2.933
V 0.000 0.000 3.982
```